1.
Material: RbSnIr2F
Method: DFT, PBE
State: relaxed

Computed properties:
total magnetization	1.34	μB/f.u.
mass density	6.57	g cm⁻³
E_form (uncorrected)	1124	kJ/mol of formula units
uncorrected energy	-2.58	eV/atom

Structure (CIF):
```
data_RbSnIr2F
_cell_length_a 4.889
_cell_length_b 4.889
_cell_length_c 6.423
_cell_angle_alpha 90.00
_cell_angle_beta 90.00
_cell_angle_gamma 90.00
_symmetry_space_group_name_H-M 'P 4/m m m'
_symmetry_Int_Tables_number 123
_symmetry_space_group_name_Hall '-P 4 2'
loop_
_atom_site_label
_atom_site_type_symbol
_atom_site_fract_x
_atom_site_fract_y
_atom_site_fract_z
Rb1 Rb 0.000 0.000 0.000
Sn1 Sn 0.000 0.000 0.500
Ir1 Ir 0.000 0.500 0.000
F1 F 0.500 0.500 0.500
```

2.
Material: KTiRe2Bi
Method: DFT, PBE
State: relaxed

Computed properties:
formation enthalpy at 0 K	7.5	eV/f.u.
total magnetization	2.30	μB/f.u.
mass density	8.89	g cm⁻³
uncorrected energy	-6.06	eV/atom

Structure (CIF):
```
data_KTiRe2Bi
_cell_length_a 4.791
_cell_length_b 4.791
_cell_length_c 5.440
_cell_angle_alpha 90.00
_cell_angle_beta 90.00
_cell_angle_gamma 90.00
_symmetry_space_group_name_H-M 'P 4/m m m'
_symmetry_Int_Tables_number 123
_symmetry_space_group_name_Hall '-P 4 2'
loop_
_atom_site_label
_atom_site_type_symbol
_atom_site_fract_x
_atom_site_fract_y
_atom_site_fract_z
K1 K 0.000 0.000 0.000
Ti1 Ti 0.500 0.500 0.500
Re1 Re 0.000 0.500 0.500
Bi1 Bi 0.500 0.500 0.000
```

3.
Material: CuPO4
Method: DFT, PBE
State: relaxed

Computed properties:
total magnetization	0.03	μB/f.u.
mass density	3.72	g cm⁻³
E_form (uncorrected)	-770	kJ/mol of formula units
uncorrected energy	-6.22	eV/atom

Structure (CIF):
```
data_CuPO4
_cell_length_a 5.471
_cell_length_b 10.869
_cell_length_c 9.526
_cell_angle_alpha 90.00
_cell_angle_beta 90.00
_cell_angle_gamma 90.00
_symmetry_space_group_name_H-M 'F d d 2'
_symmetry_Int_Tables_number 43
_symmetry_space_group_name_Hall 'F 2 -2d'
loop_
_atom_site_label
_atom_site_type_symbol
_atom_site_fract_x
_atom_site_fract_y
_atom_site_fract_z
Cu1 Cu 0.000 0.000 0.000
P1 P 0.000 0.000 0.637
O1 O 0.059 0.317 0.795
O2 O 0.119 0.410 0.245
```

4.
Material: LiCdPd2N
Method: DFT, PBE
State: relaxed

Computed properties:
total magnetization	0.00	μB/f.u.
mass density	8.18	g cm⁻³
E_form (uncorrected)	-62	kJ/mol of formula units
uncorrected energy	-4.44	eV/atom

Structure (CIF):
```
data_LiCdPd2N
_cell_length_a 4.205
_cell_length_b 4.205
_cell_length_c 3.973
_cell_angle_alpha 90.00
_cell_angle_beta 90.00
_cell_angle_gamma 90.00
_symmetry_space_group_name_H-M 'P 4/m m m'
_symmetry_Int_Tables_number 123
_symmetry_space_group_name_Hall '-P 4 2'
loop_
_atom_site_label
_atom_site_type_symbol
_atom_site_fract_x
_atom_site_fract_y
_atom_site_fract_z
Li1 Li 0.000 0.000 0.000
Cd1 Cd 0.500 0.500 0.000
Pd1 Pd 0.000 0.500 0.500
N1 N 0.000 0.000 0.500
```

5.
Material: Zn3RhS
Method: DFT, PBE
State: relaxed

Computed properties:
total magnetization	0.00	μB/f.u.
energy relative to the lowest polymorph listed for this composition	0.232	eV per atom
mass density	5.98	g cm⁻³
E_form (uncorrected)	313	kJ/mol of formula units
uncorrected energy	-2.41	eV/atom

Structure (CIF):
```
data_Zn3RhS
_cell_length_a 4.515
_cell_length_b 4.515
_cell_length_c 4.515
_cell_angle_alpha 90.00
_cell_angle_beta 90.00
_cell_angle_gamma 90.00
_symmetry_space_group_name_H-M 'P m -3 m'
_symmetry_Int_Tables_number 221
_symmetry_space_group_name_Hall '-P 4 2 3'
loop_
_atom_site_label
_atom_site_type_symbol
_atom_site_fract_x
_atom_site_fract_y
_atom_site_fract_z
Zn1 Zn 0.000 0.000 0.500
Rh1 Rh 0.500 0.500 0.500
S1 S 0.000 0.000 0.000
```

6.
Material: Cd6Cl
Method: DFT, PBE
State: relaxed

Computed properties:
total magnetization	0.00	μB/f.u.
mass density	4.38	g cm⁻³
E_form (uncorrected)	131	kJ/mol of formula units
uncorrected energy	-0.85	eV/atom

Structure (CIF):
```
data_Cd6Cl
_cell_length_a 8.135
_cell_length_b 8.135
_cell_length_c 8.135
_cell_angle_alpha 90.00
_cell_angle_beta 90.00
_cell_angle_gamma 90.00
_symmetry_space_group_name_H-M 'I m -3 m'
_symmetry_Int_Tables_number 229
_symmetry_space_group_name_Hall '-I 4 2 3'
loop_
_atom_site_label
_atom_site_type_symbol
_atom_site_fract_x
_atom_site_fract_y
_atom_site_fract_z
Cd1 Cd 0.000 0.250 0.500
Cl1 Cl 0.000 0.000 0.000
```

7.
Material: K4Ba2Na
Method: DFT, PBE
State: relaxed

Computed properties:
formation enthalpy at 0 K	1.8	eV/f.u.
total magnetization	0.00	μB/f.u.
mass density	1.44	g cm⁻³
uncorrected energy	-1.10	eV/atom

Structure (CIF):
```
data_K4Ba2Na
_cell_length_a 6.864
_cell_length_b 6.864
_cell_length_c 22.151
_cell_angle_alpha 90.00
_cell_angle_beta 90.00
_cell_angle_gamma 90.00
_symmetry_space_group_name_H-M 'I 4/m m m'
_symmetry_Int_Tables_number 139
_symmetry_space_group_name_Hall '-I 4 2'
loop_
_atom_site_label
_atom_site_type_symbol
_atom_site_fract_x
_atom_site_fract_y
_atom_site_fract_z
K1 K 0.000 0.000 0.175
K2 K 0.000 0.500 0.000
Ba1 Ba 0.000 0.000 0.377
Na1 Na 0.000 0.000 0.000
```

8.
Material: AcTbY2Er
Method: DFT, PBE
State: relaxed

Computed properties:
formation enthalpy at 0 K	2.0	eV/f.u.
total magnetization	0.00	μB/f.u.
mass density	6.65	g cm⁻³
uncorrected energy	-4.84	eV/atom

Structure (CIF):
```
data_AcTbY2Er
_cell_length_a 6.473
_cell_length_b 17.526
_cell_length_c 6.438
_cell_angle_alpha 90.00
_cell_angle_beta 90.00
_cell_angle_gamma 90.00
_symmetry_space_group_name_H-M 'C m c m'
_symmetry_Int_Tables_number 63
_symmetry_space_group_name_Hall '-C 2c 2'
loop_
_atom_site_label
_atom_site_type_symbol
_atom_site_fract_x
_atom_site_fract_y
_atom_site_fract_z
Ac1 Ac 0.000 0.160 0.250
Tb1 Tb 0.000 0.347 0.250
Y1 Y 0.247 0.500 0.000
Er1 Er 0.000 0.255 0.750
```